Crystalline YTlNiRh at its relaxed geometry. Source: Alexandria, functional GGA-PBE.

Energy of formation (eV/atom): -0.3214
Symmetry: F-43m
Crystal system: cubic

The structure in POSCAR format:
```
YTlNiRh
1.0
4.7142 0.0000 0.0000
2.3571 4.0826 0.0000
2.3571 1.3609 3.8492
Y Ni Tl Rh
1 1 1 1
direct
0.7500 0.7500 0.7500 Y
0.0000 0.0000 0.0000 Ni
0.2500 0.2500 0.2500 Tl
0.5000 0.5000 0.5000 Rh
```


Crystalline CsPb8Au2 at its relaxed geometry. Source: Alexandria, functional GGA-PBE.

Energy of formation (eV/atom): 0.0047
Excess energy over the best structure of this formula in the dataset (meV per atom): 0
Symmetry: C2/m
Crystal system: monoclinic

The structure in POSCAR format:
```
CsPb8Au2
1.0
6.1616 0.1788 -0.7125
-1.3917 7.5589 -2.2866
0.0305 -0.4312 8.0072
Cs Pb Au
1 8 2
direct
0.5000 0.0000 0.0000 Cs
0.8825 0.9107 0.6460 Pb
0.8825 0.6460 0.9107 Pb
0.2673 0.5957 0.5957 Pb
0.5000 0.7161 0.2839 Pb
0.5000 0.2839 0.7161 Pb
0.7327 0.4043 0.4043 Pb
0.1175 0.3540 0.0893 Pb
0.1175 0.0893 0.3540 Pb
0.0000 0.3007 0.6993 Au
0.0000 0.6993 0.3007 Au
```


Crystalline CdCoSe at its relaxed geometry. Source: Alexandria, functional GGA-PBE.

Excess energy over the best structure of this formula in the dataset (meV per atom): 74
Energy relative to the elements, uncorrected (eV/atom): 0.057
Symmetry: I4mm
Crystal system: tetragonal

The structure in POSCAR format:
```
CdCoSe
1.0
-3.5088 -4.5420 2.9287
-2.5985 -5.8828 0.3991
2.0376 -1.5612 1.5608
Cd Co Se
1 1 1
direct
0.9727 0.9727 0.0273 Cd
0.3111 0.3111 0.6889 Co
0.7162 0.7162 0.2838 Se
```


Crystalline Sn5Te4Cl at its relaxed geometry. Source: Alexandria, functional GGA-PBE.

Energy relative to the elements, uncorrected (eV/atom): -0.288
Symmetry: Immm
Crystal system: orthorhombic

The structure in POSCAR format:
```
Sn5Te4Cl
1.0
4.4514 0.0000 -0.8588
-0.3292 6.1476 -1.7065
-0.0190 -0.0262 11.8677
Sn Te Cl
5 4 1
direct
0.6004 0.1004 0.2009 Sn
0.8010 0.3010 0.6021 Sn
0.1990 0.6990 0.3979 Sn
0.0000 0.5000 0.0000 Sn
0.3996 0.8996 0.7991 Sn
0.4001 0.4001 0.8002 Te
0.8020 0.8020 0.6039 Te
0.1980 0.1980 0.3961 Te
0.5999 0.5999 0.1998 Te
0.0000 0.0000 0.0000 Cl
```